Below is a geometry-optimized FeMoPd6 structure, with properties calculated at the GGA-PBE level.

D(E_F) (states/eV/f.u.): 7.55
Magnetic moment (μB per formula unit): 5.080
Total energy (eV per atom): -6.36

```
data_FeMoPd6
_cell_length_a 3.921
_cell_length_b 3.921
_cell_length_c 7.834
_cell_angle_alpha 90.00
_cell_angle_beta 90.00
_cell_angle_gamma 90.00
_symmetry_space_group_name_H-M 'P 4/m m m'
_symmetry_Int_Tables_number 123
_symmetry_space_group_name_Hall '-P 4 2'
loop_
_atom_site_label
_atom_site_type_symbol
_atom_site_fract_x
_atom_site_fract_y
_atom_site_fract_z
Fe1 Fe 0.000 0.000 0.000
Mo1 Mo 0.000 0.000 0.500
Pd1 Pd 0.000 0.500 0.251
Pd2 Pd 0.500 0.500 0.000
Pd3 Pd 0.500 0.500 0.500
```